Material: Mg14ZnCr
Method: DFT, PBE
State: relaxed

ΔH_f (0 K) in eV/atom: 0.056
Electronic total energy in eV/atom: -2.0208

abc: 6.2483 6.2483 10.2344
angles: 90.00 90.00 120.00
Space group P-6m2 (No. 187)
Unique sites:
Mg  0.0000  0.0000  0.2482 [2 per cell]
Mg  0.0075  0.5038  0.2483 [6 per cell]
Mg  0.3323  0.1662  0.5000 [3 per cell]
Mg  0.3342  0.1671  0.0000 [3 per cell]
Zn  0.3333  0.6667  0.5000 [1 per cell]
Cr  0.3333  0.6667  0.0000 [1 per cell]

Material: MgZn2Cr
Method: DFT, PBE
State: relaxed

ΔH_f (0 K) in eV/atom: 0.114
Electronic total energy in eV/atom: -3.3276

abc: 4.3761 4.3761 3.2649
angles: 90.00 90.00 90.00
Space group P4/mmm (No. 123)
Unique sites:
Mg  0.0000  0.0000  0.0000 [1 per cell]
Zn  0.0000  0.5000  0.5000 [2 per cell]
Cr  0.5000  0.5000  0.0000 [1 per cell]

Material: MgZnCr2
Method: DFT, PBE
State: relaxed

ΔH_f (0 K) in eV/atom: 0.375
Electronic total energy in eV/atom: -5.1535

abc: 9.5560 3.1474 4.0333
angles: 90.00 112.66 90.00
Space group C2/m (No. 12)
Unique sites:
Mg  0.0000  0.0000  0.0000 [2 per cell]
Zn  0.0000  0.5000  0.5000 [2 per cell]
Cr  0.2438  0.0000  0.6994 [4 per cell]

Material: MgZr2ZnCr
Method: DFT, PBE
State: relaxed

ΔH_f (0 K) in eV/atom: 1.521
Electronic total energy in eV/atom: -4.3964

abc: 5.0335 5.0335 4.3424
angles: 90.00 90.00 90.00
Space group P4/mmm (No. 123)
Unique sites:
Mg  0.0000  0.0000  0.0000 [1 per cell]
Zr  0.0000  0.5000  0.0000 [2 per cell]
Zn  0.0000  0.0000  0.5000 [1 per cell]
Cr  0.5000  0.5000  0.5000 [1 per cell]

Material: Mg2ZrZnCr
Method: DFT, PBE
State: relaxed

ΔH_f (0 K) in eV/atom: 1.021
Electronic total energy in eV/atom: -3.5063

abc: 4.6466 4.6466 5.1140
angles: 90.00 90.00 90.00
Space group P4/mmm (No. 123)
Unique sites:
Mg  0.0000  0.5000  0.0000 [2 per cell]
Zr  0.0000  0.0000  0.5000 [1 per cell]
Zn  0.0000  0.0000  0.0000 [1 per cell]
Cr  0.5000  0.5000  0.5000 [1 per cell]

Material: Mg2ZrCr
Method: DFT, PBE
State: relaxed

ΔH_f (0 K) in eV/atom: 0.314
Electronic total energy in eV/atom: -5.0259

abc: 2.9514 4.7970 5.8866
angles: 90.00 102.61 90.00
Space group P2/m (No. 10)
Unique sites:
Mg  0.0751  0.0000  0.2626 [2 per cell]
Zr  0.5000  0.5000  0.0000 [1 per cell]
Cr  0.5000  0.5000  0.5000 [1 per cell]

Material: MgZr2Cr
Method: DFT, PBE
State: relaxed

ΔH_f (0 K) in eV/atom: 0.242
Electronic total energy in eV/atom: -6.8367

abc: 3.7096 4.8269 8.9497
angles: 90.00 90.00 90.00
Space group Immm (No. 71)
Unique sites:
Mg  0.0000  0.0000  0.0000 [2 per cell]
Zr  0.0000  0.5000  0.2154 [4 per cell]
Cr  0.0000  0.0000  0.5000 [2 per cell]

Material: Mg2ZrCr
Method: DFT, PBE
State: relaxed

ΔH_f (0 K) in eV/atom: 0.423
Electronic total energy in eV/atom: -4.9174

abc: 3.4307 4.3999 9.8279
angles: 90.00 90.00 90.00
Space group Cmmm (No. 65)
Unique sites:
Mg  0.0000  0.0000  0.2196 [4 per cell]
Zr  0.0000  0.5000  0.5000 [2 per cell]
Cr  0.0000  0.5000  0.0000 [2 per cell]

Material: Mg2ZrCr
Method: DFT, PBE
State: relaxed

ΔH_f (0 K) in eV/atom: 0.287
Electronic total energy in eV/atom: -5.0534

abc: 4.0946 4.0946 9.3911
angles: 90.00 90.00 90.00
Space group I4/mmm (No. 139)
Unique sites:
Mg  0.0000  0.5000  0.2500 [4 per cell]
Zr  0.0000  0.0000  0.0000 [2 per cell]
Cr  0.0000  0.0000  0.5000 [2 per cell]

Material: Mg2ZrCr
Method: DFT, PBE
State: relaxed

ΔH_f (0 K) in eV/atom: 0.339
Electronic total energy in eV/atom: -5.0009

abc: 5.9452 9.0379 3.0559
angles: 90.00 90.00 90.00
Space group Cmmm (No. 65)
Unique sites:
Mg  0.2500  0.2500  0.0000 [4 per cell]
Zr  0.0000  0.0000  0.5000 [2 per cell]
Cr  0.0000  0.5000  0.5000 [2 per cell]

Material: MgZr2Cr
Method: DFT, PBE
State: relaxed

ΔH_f (0 K) in eV/atom: 0.108
Electronic total energy in eV/atom: -6.9701

abc: 3.2344 3.2344 7.7092
angles: 90.00 90.00 90.00
Space group P4/mmm (No. 123)
Unique sites:
Mg  0.0000  0.0000  0.0000 [1 per cell]
Zr  0.5000  0.5000  0.2979 [2 per cell]
Cr  0.0000  0.0000  0.5000 [1 per cell]

Material: MgZr2Cr
Method: DFT, PBE
State: relaxed

ΔH_f (0 K) in eV/atom: 0.844
Electronic total energy in eV/atom: -6.2341

abc: 4.0671 4.0671 19.9369
angles: 90.00 90.00 90.00
Space group I-42d (No. 122)
Unique sites:
Mg  0.0000  0.0000  0.0000 [4 per cell]
Zr  0.2343  0.2500  0.6250 [8 per cell]
Cr  0.0000  0.0000  0.5000 [4 per cell]